[1]
Density functional theory data (PBE) for an optimized crystal structure of AcHgHAu.

## Properties
final energy: -12.36 eV per cell
crystal system: cubic
spin magnetization: 0.0 μB per cell

Cell: 5.0501 5.0501 5.0501 Å, 60.00 60.00 60.00°
Last column: nearest neighbours and their distance in Å.
Fractional coordinates of all 4 atoms:
Ac  0.5000  0.5000  0.5000  4 H 3.09, 4 Au 3.09
Au  0.7500  0.7500  0.7500  4 Hg 3.09, 4 Ac 3.09
Hg  0.0000  0.0000  0.0000  4 Au 3.09, 4 H 3.09
H  0.2500  0.2500  0.2500  4 Hg 3.09, 4 Ac 3.09

---

[2]
Density functional theory data (PBE) for an optimized crystal structure of Ac6HIr2Au3.

## Properties
final energy: -64.09 eV per cell
crystal system: monoclinic
spin magnetization: 0.0 μB per cell

Cell: 7.5844 7.5844 7.7827 Å, 99.18 99.18 120.17°
Last column: nearest neighbours and their distance in Å.
Fractional coordinates of all 12 atoms:
Au  0.5000  0.5000  0.5000  6 Ac 3.22-3.25
Au  0.8393  0.1607  0.5000  6 Ac 3.21-3.24
Au  0.1607  0.8393  0.5000  6 Ac 3.21-3.24
Ir  0.3324  0.6676  0.0000  6 Ac 2.99-3.01
Ir  0.6676  0.3324  0.0000  6 Ac 2.99-3.01
Ac  0.0771  0.4206  0.2304  2 Ir 3.00-3.01, 1 H 3.11, 3 Au 3.21-3.25
Ac  0.7334  0.7334  0.2194  2 Ir 2.99, 1 H 3.03, 3 Au 3.22-3.24
Ac  0.2666  0.2666  0.7806  2 Ir 2.99, 1 H 3.03, 3 Au 3.22-3.24
Ac  0.5794  0.9229  0.7696  2 Ir 3.00-3.01, 1 H 3.11, 3 Au 3.21-3.25
Ac  0.4206  0.0771  0.2304  2 Ir 3.00-3.01, 1 H 3.11, 3 Au 3.21-3.25
Ac  0.9229  0.5794  0.7696  2 Ir 3.00-3.01, 1 H 3.11, 3 Au 3.21-3.25
H  0.0000  0.0000  0.0000  6 Ac 3.03-3.11